(w)
A plane-wave DFT calculation with GGA-PBE was carried out for a relaxed Ba2ScMn crystal.

```
data_Ba2ScMn
_cell_length_a 12.082
_cell_length_b 12.082
_cell_length_c 4.962
_cell_angle_alpha 90.00
_cell_angle_beta 90.00
_cell_angle_gamma 90.00
_space_group_name_H-M_alt 'I -4 2 d'
_space_group_IT_number 122
_space_group_name_Hall 'I -4 2bw'
loop_
_atom_site_label
_atom_site_fract_x
_atom_site_fract_y
_atom_site_fract_z
_atom_site_occupancy
Ba1 0.087 0.250 0.125 1
Sc1 0.000 0.000 0.500 1
Mn1 0.000 0.000 0.000 1
```



(x)
A plane-wave DFT calculation with GGA-PBE was carried out for a relaxed Ba2ScMn crystal.

```
data_Ba2ScMn
_cell_length_a 9.090
_cell_length_b 4.006
_cell_length_c 9.407
_cell_angle_alpha 90.00
_cell_angle_beta 105.47
_cell_angle_gamma 90.00
_space_group_name_H-M_alt 'C 1 m 1'
_space_group_IT_number 8
_space_group_name_Hall 'C -2y'
loop_
_atom_site_label
_atom_site_fract_x
_atom_site_fract_y
_atom_site_fract_z
_atom_site_occupancy
Ba1 0.000 0.000 0.000 1
Ba2 0.160 0.000 0.578 1
Sc1 0.279 0.500 0.289 1
Mn1 0.489 0.000 0.289 1
```



The calculated energies rank the structures as follows, beginning with the most stable: (x), (w).



(w)
A plane-wave DFT calculation with GGA-PBE was carried out for a relaxed Ba2ScMn crystal.

```
data_Ba2ScMn
_cell_length_a 3.8267
_cell_length_b 3.8267
_cell_length_c 34.3009
_cell_angle_alpha 90.00
_cell_angle_beta 90.00
_cell_angle_gamma 120.00
_space_group_name_H-M_alt 'R -3 m'
_space_group_IT_number 166
_space_group_name_Hall '-R 3 2"'
loop_
_atom_site_label
_atom_site_fract_x
_atom_site_fract_y
_atom_site_fract_z
_atom_site_occupancy
Ba1 0.0000 0.0000 0.2418 1
Sc1 0.0000 0.0000 0.0000 1
Mn1 0.0000 0.0000 0.5000 1
```



(x)
A plane-wave DFT calculation with GGA-PBE was carried out for a relaxed Ba2ScMn crystal.

```
data_Ba2ScMn
_cell_length_a 4.030
_cell_length_b 4.030
_cell_length_c 9.026
_cell_angle_alpha 90.00
_cell_angle_beta 90.00
_cell_angle_gamma 90.00
_space_group_name_H-M_alt 'P 4/m m m'
_space_group_IT_number 123
_space_group_name_Hall '-P 4 2'
loop_
_atom_site_label
_atom_site_fract_x
_atom_site_fract_y
_atom_site_fract_z
_atom_site_occupancy
Ba1 0.000 0.000 0.222 1
Sc1 0.500 0.500 0.500 1
Mn1 0.500 0.500 0.000 1
```



The calculated energies rank the structures as follows, beginning with the most stable: (x), (w).



(w)
A plane-wave DFT calculation with GGA-PBE was carried out for a relaxed Ba2ScMn crystal.

```
data_Ba2ScMn
_cell_length_a 7.847
_cell_length_b 7.847
_cell_length_c 7.847
_cell_angle_alpha 90.00
_cell_angle_beta 90.00
_cell_angle_gamma 90.00
_space_group_name_H-M_alt 'F m -3 m'
_space_group_IT_number 225
_space_group_name_Hall '-F 4 2 3'
loop_
_atom_site_label
_atom_site_fract_x
_atom_site_fract_y
_atom_site_fract_z
_atom_site_occupancy
Ba1 0.250 0.250 0.250 1
Sc1 0.000 0.000 0.000 1
Mn1 0.000 0.000 0.500 1
```



(x)
A plane-wave DFT calculation with GGA-PBE was carried out for a relaxed Ba2ScMn crystal.

```
data_Ba2ScMn
_cell_length_a 5.794
_cell_length_b 5.794
_cell_length_c 8.169
_cell_angle_alpha 90.00
_cell_angle_beta 90.00
_cell_angle_gamma 90.00
_space_group_name_H-M_alt 'I -4 m 2'
_space_group_IT_number 119
_space_group_name_Hall 'I -4 -2'
loop_
_atom_site_label
_atom_site_fract_x
_atom_site_fract_y
_atom_site_fract_z
_atom_site_occupancy
Ba1 0.000 0.000 0.000 1
Ba2 0.000 0.500 0.250 1
Sc1 0.000 0.000 0.500 1
Mn1 0.000 0.500 0.750 1
```



The calculated energies rank the structures as follows, beginning with the most stable: (x), (w).



(w)
A plane-wave DFT calculation with GGA-PBE was carried out for a relaxed Ba2ScMn crystal.

```
data_Ba2ScMn
_cell_length_a 3.742
_cell_length_b 4.214
_cell_length_c 19.457
_cell_angle_alpha 90.00
_cell_angle_beta 90.00
_cell_angle_gamma 90.00
_space_group_name_H-M_alt 'I m m m'
_space_group_IT_number 71
_space_group_name_Hall '-I 2 2'
loop_
_atom_site_label
_atom_site_fract_x
_atom_site_fract_y
_atom_site_fract_z
_atom_site_occupancy
Ba1 0.000 0.000 0.155 1
Sc1 0.000 0.500 0.000 1
Mn1 0.000 0.500 0.500 1
```



(x)
A plane-wave DFT calculation with GGA-PBE was carried out for a relaxed Ba2ScMn crystal.

```
data_Ba2ScMn
_cell_length_a 3.971
_cell_length_b 5.535
_cell_length_c 12.470
_cell_angle_alpha 90.00
_cell_angle_beta 90.00
_cell_angle_gamma 90.00
_space_group_name_H-M_alt 'I m m m'
_space_group_IT_number 71
_space_group_name_Hall '-I 2 2'
loop_
_atom_site_label
_atom_site_fract_x
_atom_site_fract_y
_atom_site_fract_z
_atom_site_occupancy
Ba1 0.000 0.000 0.204 1
Sc1 0.000 0.500 0.000 1
Mn1 0.000 0.500 0.500 1
```



(y)
A plane-wave DFT calculation with GGA-PBE was carried out for a relaxed Ba2ScMn crystal.

```
data_Ba2ScMn
_cell_length_a 3.880
_cell_length_b 6.116
_cell_length_c 12.304
_cell_angle_alpha 90.00
_cell_angle_beta 90.00
_cell_angle_gamma 90.00
_space_group_name_H-M_alt 'I m m 2'
_space_group_IT_number 44
_space_group_name_Hall 'I 2 -2'
loop_
_atom_site_label
_atom_site_fract_x
_atom_site_fract_y
_atom_site_fract_z
_atom_site_occupancy
Ba1 0.000 0.000 0.000 1
Ba2 0.000 0.500 0.200 1
Sc1 0.000 0.000 0.401 1
Mn1 0.000 0.500 0.737 1
```



The calculated energies rank the structures as follows, beginning with the most stable: (w), (y), (x).